1.
VASP calculation (PBE) on MgSiTc2 after structural relaxation.

a b c (Å): 3.897 3.869 3.869
angles (deg): 90.00 90.00 90.00
Atoms (fractional coordinates):
Tc1 0.000 0.000 0.000
Tc2 0.000 0.500 0.500
Mg1 0.500 0.500 0.000
Si1 0.500 0.000 0.500

- DOS(E_F) (states/eV/f.u.) = 4.6
- space group = P4/mmm
- excess energy over the best structure of this formula in the dataset (kJ/mol of atoms) = 24.8
- crystal system = tetragonal
- ΔE_f (raw) (meV per atom) = 140

2.
VASP calculation (PBE) on MnTlNi2 after structural relaxation.

a b c (Å): 8.096 8.096 8.096
angles (deg): 21.63 21.63 21.63
Each line ends with the local moment (μB).
Atoms (fractional coordinates):
Ni1 0.259 0.259 0.259  0.14
Tl1 0.505 0.505 0.505  -0.04
Ni2 0.999 0.999 0.999  0.77
Mn1 0.737 0.737 0.737  3.57

- DOS(E_F) (states/eV/f.u.) = 2.4
- space group = R3m
- excess energy over the best structure of this formula in the dataset (kJ/mol of atoms) = 30.9
- crystal system = trigonal

3.
VASP calculation (PBE) on TbThCd5 after structural relaxation.

a b c (Å): 5.176 5.176 7.056
angles (deg): 90.00 90.00 90.00
Atoms (fractional coordinates):
Th1 0.000 0.000 0.500
Cd1 0.500 0.000 0.772
Cd2 0.000 0.500 0.772
Cd3 0.500 0.000 0.228
Cd4 0.500 0.500 0.500
Cd5 0.000 0.500 0.228
Tb1 0.500 0.500 0.000

- total DFT energy (no corrections) (eV/atom) = -2.39
- DOS(E_F) (states/eV/f.u.) = 3.6
- space group = P4/mmm
- crystal system = tetragonal

4.
VASP calculation (PBE) on LaPrO2 after structural relaxation.

a b c (Å): 5.127 5.127 6.286
angles (deg): 65.93 65.93 90.00
Atoms (fractional coordinates):
La1 0.875 0.625 0.250
Pr1 0.625 0.875 0.750
O1 0.875 0.125 0.249
La2 0.125 0.375 0.750
O2 0.625 0.375 0.749
Pr2 0.375 0.125 0.250
O3 0.375 0.625 0.251
O4 0.125 0.875 0.751

- DOS(E_F) (states/eV/f.u.) = 1.7
- space group = I4_1/amd
- excess energy over the best structure of this formula in the dataset (kJ/mol of atoms) = 0.7
- crystal system = tetragonal
- ΔE_f (raw) (meV per atom) = -2778

5.
VASP calculation (PBE) on Ag2WBr after structural relaxation.

a b c (Å): 4.684 4.684 4.684
angles (deg): 120.14 120.14 89.76
Atoms (fractional coordinates):
W1 0.750 0.250 0.500
Ag1 0.250 0.750 0.500
Br1 0.500 0.500 0.000
Ag2 0.000 0.000 0.000

- DOS(E_F) (states/eV/f.u.) = 2.8
- space group = I-4m2
- excess energy over the best structure of this formula in the dataset (kJ/mol of atoms) = 67.9
- crystal system = tetragonal
- ΔE_f (raw) (meV per atom) = 1156

6.
VASP calculation (PBE) on La2BeSi2 after structural relaxation.

a b c (Å): 4.109 5.988 9.722
angles (deg): 80.70 77.81 69.92
Atoms (fractional coordinates):
Be1 0.451 0.785 0.312
La1 0.714 0.215 0.356
La2 0.286 0.785 0.644
Si1 0.595 0.932 0.878
Si2 0.969 0.657 0.405
Si3 0.031 0.343 0.595
Be2 0.549 0.215 0.688
La3 0.874 0.335 0.917
La4 0.126 0.665 0.083
Si4 0.405 0.068 0.122

- DOS(E_F) (states/eV/f.u.) = 2.7
- space group = C2/m
- excess energy over the best structure of this formula in the dataset (kJ/mol of atoms) = 0.0
- crystal system = monoclinic
- ΔE_f (raw) (meV per atom) = -601

7.
VASP calculation (PBE) on Zn2CdIrSe after structural relaxation.

a b c (Å): 4.846 5.218 4.846
angles (deg): 90.00 90.00 90.00
Each line ends with the local moment (μB).
Atoms (fractional coordinates):
Ir1 0.500 0.500 0.500  1.35
Cd1 0.000 0.000 0.000  0.01
Zn1 0.000 0.000 0.500  0.01
Zn2 0.500 0.000 0.000  0.03
Se1 0.000 0.500 0.000  0.03

- DOS(E_F) (states/eV/f.u.) = 5.9
- space group = P4/mmm
- excess energy over the best structure of this formula in the dataset (kJ/mol of atoms) = 30.1
- crystal system = tetragonal
- ΔE_f (raw) (meV per atom) = 1331

8.
VASP calculation (PBE) on SrLiAlPd2 after structural relaxation.

a b c (Å): 4.241 4.241 6.376
angles (deg): 109.43 109.43 90.00
Atoms (fractional coordinates):
Li1 0.250 0.750 0.500
Sr1 0.000 0.000 0.000
Pd1 0.377 0.377 0.754
Pd2 0.623 0.623 0.246
Al1 0.750 0.250 0.500

- DOS(E_F) (states/eV/f.u.) = 1.3
- space group = I-4m2
- excess energy over the best structure of this formula in the dataset (kJ/mol of atoms) = 0.0
- crystal system = tetragonal

9.
VASP calculation (PBE) on Cd2TeW after structural relaxation.

a b c (Å): 7.192 7.192 7.192
angles (deg): 154.50 140.43 47.67
Atoms (fractional coordinates):
Cd1 0.920 0.920 0.000
Te1 0.575 0.575 0.000
Cd2 0.269 0.769 0.500
W1 0.736 0.236 0.500

- DOS(E_F) (states/eV/f.u.) = 1.8
- space group = Imm2
- crystal system = orthorhombic
- ΔE_f (raw) (meV per atom) = 477

10.
VASP calculation (PBE) on SiOs2F after structural relaxation.

a b c (Å): 4.138 4.138 4.138
angles (deg): 60.00 60.00 60.00
Atoms (fractional coordinates):
Os1 0.250 0.250 0.250
Os2 0.750 0.750 0.750
Si1 0.500 0.500 0.500
F1 0.000 0.000 0.000

- DOS(E_F) (states/eV/f.u.) = 3.6
- space group = Fm-3m
- excess energy over the best structure of this formula in the dataset (kJ/mol of atoms) = 7.1
- crystal system = cubic
- ΔE_f (raw) (meV per atom) = 166

11.
VASP calculation (PBE) on MnICl2 after structural relaxation.

a b c (Å): 5.171 5.171 5.171
angles (deg): 60.00 60.00 60.00
Each line ends with the local moment (μB).
Atoms (fractional coordinates):
Cl1 0.750 0.750 0.750  -0.10
Cl2 0.250 0.250 0.250  -0.10
Mn1 0.000 0.000 0.000  4.46
I1 0.500 0.500 0.500  -0.36

- DOS(E_F) (states/eV/f.u.) = 4.1
- space group = Fm-3m
- excess energy over the best structure of this formula in the dataset (kJ/mol of atoms) = 79.2
- crystal system = cubic
- ΔE_f (raw) (meV per atom) = 224

12.
VASP calculation (PBE) on CaB2Br8 after structural relaxation.

a b c (Å): 10.124 10.523 10.707
angles (deg): 55.49 61.79 61.25
Atoms (fractional coordinates):
Br1 0.915 0.032 0.702
Br2 0.150 0.503 0.562
Br3 0.085 0.968 0.298
Br4 0.693 0.790 0.988
Br5 0.351 0.532 0.202
Br6 0.649 0.468 0.798
B1 0.142 0.127 0.064
B2 0.333 0.373 0.436
Br7 0.261 0.192 0.490
Br8 0.058 0.692 0.990
Br9 0.528 0.290 0.488
Br10 0.850 0.497 0.438
Br11 0.215 0.997 0.938
Ca1 0.025 0.750 0.250
B3 0.858 0.873 0.936
Ca2 0.975 0.250 0.750
B4 0.667 0.627 0.564
Br12 0.307 0.210 0.012
Br13 0.942 0.308 0.010
Br14 0.785 0.003 0.062
Br15 0.739 0.808 0.510
Br16 0.472 0.710 0.512

- DOS(E_F) (states/eV/f.u.) = 0.0
- space group = C2/c
- excess energy over the best structure of this formula in the dataset (kJ/mol of atoms) = 0.0
- crystal system = monoclinic
- ΔE_f (raw) (meV per atom) = -883

13.
VASP calculation (PBE) on BPtPbCl2 after structural relaxation.

a b c (Å): 4.720 5.853 4.720
angles (deg): 90.00 90.00 90.00
Atoms (fractional coordinates):
Pb1 0.000 0.500 0.000
Pt1 0.000 0.000 0.000
Cl1 0.500 0.000 0.000
B1 0.500 0.500 0.500
Cl2 0.000 0.000 0.500

- DOS(E_F) (states/eV/f.u.) = 3.5
- space group = P4/mmm
- crystal system = tetragonal
- ΔE_f (raw) (meV per atom) = 832

14.
VASP calculation (PBE) on TbSm8Tl2 after structural relaxation.

a b c (Å): 5.187 8.334 9.105
angles (deg): 110.46 106.55 90.00
Atoms (fractional coordinates):
Tl1 0.777 0.359 0.555
Sm1 0.600 0.464 0.199
Sm2 0.052 0.738 0.104
Sm3 0.855 0.796 0.709
Sm4 0.314 0.053 0.629
Sm5 0.400 0.536 0.801
Tb1 0.500 0.000 0.000
Tl2 0.223 0.641 0.445
Sm6 0.145 0.204 0.291
Sm7 0.948 0.262 0.896
Sm8 0.686 0.947 0.371

- DOS(E_F) (states/eV/f.u.) = 14.7
- space group = C2/m
- excess energy over the best structure of this formula in the dataset (kJ/mol of atoms) = 0.0
- crystal system = monoclinic

15.
VASP calculation (PBE) on Fe2HgIr after structural relaxation.

a b c (Å): 4.749 4.749 4.749
angles (deg): 130.93 130.93 71.93
Each line ends with the local moment (μB).
Atoms (fractional coordinates):
Fe1 0.000 0.000 0.000  2.92
Fe2 0.500 0.500 0.000  2.92
Hg1 0.250 0.750 0.500  -0.01
Ir1 0.750 0.250 0.500  0.72

- total DFT energy (no corrections) (eV/atom) = -6.19
- DOS(E_F) (states/eV/f.u.) = 2.8
- space group = I4/mmm
- crystal system = tetragonal

16.
VASP calculation (PBE) on TbNd3Ho5 after structural relaxation.

a b c (Å): 9.542 9.542 11.672
angles (deg): 52.39 52.39 72.83
Atoms (fractional coordinates):
Nd1 0.000 0.000 0.000
Nd2 0.700 0.700 0.808
Ho1 0.344 0.844 0.248
Ho2 0.814 0.814 0.963
Tb1 0.152 0.152 0.600
Ho3 0.508 0.508 0.775
Nd3 0.300 0.300 0.192
Nd4 0.000 0.000 0.500
Nd5 0.339 0.339 0.637
Ho4 0.844 0.344 0.248
Ho5 0.656 0.156 0.752
Ho6 0.492 0.492 0.225
Ho7 0.156 0.656 0.752
Nd6 0.661 0.661 0.363
Ho8 0.742 0.258 0.000
Ho9 0.186 0.186 0.037
Ho10 0.258 0.742 0.000
Tb2 0.848 0.848 0.400

- DOS(E_F) (states/eV/f.u.) = 12.4
- space group = C2/m
- excess energy over the best structure of this formula in the dataset (kJ/mol of atoms) = 35.1
- crystal system = monoclinic

17.
VASP calculation (PBE) on Ac3MgPb2 after structural relaxation.

a b c (Å): 7.043 7.811 8.953
angles (deg): 102.27 113.16 90.00
Atoms (fractional coordinates):
Pb1 0.648 0.575 0.284
Ac1 0.173 0.087 0.354
Ac2 0.827 0.913 0.646
Mg1 0.233 0.250 0.000
Mg2 0.767 0.750 0.000
Ac3 0.818 0.413 0.646
Ac4 0.735 0.250 0.000
Ac5 0.182 0.587 0.354
Pb2 0.364 0.925 0.716
Ac6 0.265 0.750 0.000
Pb3 0.352 0.425 0.716
Pb4 0.636 0.075 0.284

- DOS(E_F) (states/eV/f.u.) = 4.2
- space group = C2/c
- excess energy over the best structure of this formula in the dataset (kJ/mol of atoms) = 11.1
- crystal system = monoclinic

18.
VASP calculation (PBE) on CdBAs3 after structural relaxation.

a b c (Å): 4.507 4.507 4.507
angles (deg): 90.00 90.00 90.00
Atoms (fractional coordinates):
As1 0.500 0.000 0.000
As2 0.000 0.000 0.500
Cd1 0.500 0.500 0.500
As3 0.000 0.500 0.000
B1 0.000 0.000 0.000

- DOS(E_F) (states/eV/f.u.) = 4.2
- space group = Pm-3m
- excess energy over the best structure of this formula in the dataset (kJ/mol of atoms) = 0.0
- crystal system = cubic

19.
VASP calculation (PBE) on Mg2Rh3 after structural relaxation.

a b c (Å): 10.883 10.883 10.883
angles (deg): 15.11 15.11 15.11
Each line ends with the local moment (μB).
Atoms (fractional coordinates):
Rh1 0.800 0.800 0.800  0.32
Rh2 0.000 0.000 0.000  0.34
Mg1 0.400 0.400 0.400  0.00
Rh3 0.200 0.200 0.200  0.32
Mg2 0.600 0.600 0.600  0.00

- DOS(E_F) (states/eV/f.u.) = 6.1
- space group = R-3m
- excess energy over the best structure of this formula in the dataset (kJ/mol of atoms) = 8.5
- crystal system = trigonal

20.
VASP calculation (PBE) on Pr2SiCl after structural relaxation.

a b c (Å): 4.195 4.195 7.902
angles (deg): 74.61 74.61 60.00
Atoms (fractional coordinates):
Pr1 0.072 0.072 0.783
Si1 0.668 0.668 0.996
Cl1 0.497 0.497 0.508
Pr2 0.263 0.263 0.212

- DOS(E_F) (states/eV/f.u.) = 2.5
- space group = R3m
- excess energy over the best structure of this formula in the dataset (kJ/mol of atoms) = 5.1
- crystal system = trigonal
- ΔE_f (raw) (meV per atom) = -1133

21.
VASP calculation (PBE) on Ba2TeBr after structural relaxation.

a b c (Å): 5.888 5.888 5.888
angles (deg): 60.00 60.00 60.00
Each line ends with the local moment (μB).
Atoms (fractional coordinates):
Br1 0.000 0.000 0.000  0.00
Te1 0.500 0.500 0.500  -0.01
Ba1 0.250 0.250 0.250  0.09
Ba2 0.750 0.750 0.750  0.09

- DOS(E_F) (states/eV/f.u.) = 3.6
- space group = Fm-3m
- excess energy over the best structure of this formula in the dataset (kJ/mol of atoms) = 10.8
- crystal system = cubic
- ΔE_f (raw) (meV per atom) = -1584

22.
VASP calculation (PBE) on CaMo2H2 after structural relaxation.

a b c (Å): 7.467 7.467 2.842
angles (deg): 90.00 90.00 90.00
Atoms (fractional coordinates):
H1 0.398 0.102 0.500
H2 0.602 0.898 0.500
Ca1 0.000 0.000 0.000
Mo1 0.394 0.894 0.000
H3 0.102 0.602 0.500
H4 0.898 0.398 0.500
Mo2 0.106 0.394 0.000
Mo3 0.894 0.606 0.000
Ca2 0.500 0.500 0.000
Mo4 0.606 0.106 0.000

- DOS(E_F) (states/eV/f.u.) = 3.5
- space group = P4/mbm
- excess energy over the best structure of this formula in the dataset (kJ/mol of atoms) = 63.3
- crystal system = tetragonal

23.
VASP calculation (PBE) on PmMnPd2 after structural relaxation.

a b c (Å): 4.458 4.458 5.359
angles (deg): 65.42 65.42 60.00
Each line ends with the local moment (μB).
Atoms (fractional coordinates):
Pd1 0.214 0.214 0.359  0.10
Mn1 0.500 0.500 0.500  3.83
Pm1 0.000 0.000 0.000  -0.10
Pd2 0.786 0.786 0.641  0.10

- total DFT energy (no corrections) (eV/atom) = -6.56
- DOS(E_F) (states/eV/f.u.) = 2.2
- space group = R-3m
- crystal system = trigonal

24.
VASP calculation (PBE) on SrLiZnGa2 after structural relaxation.

a b c (Å): 4.493 4.493 6.180
angles (deg): 111.31 111.31 90.00
Atoms (fractional coordinates):
Sr1 0.000 0.000 0.000
Ga1 0.620 0.620 0.241
Li1 0.750 0.250 0.500
Zn1 0.250 0.750 0.500
Ga2 0.380 0.380 0.759

- total DFT energy (no corrections) (eV/atom) = -2.52
- DOS(E_F) (states/eV/f.u.) = 2.8
- space group = I-4m2
- crystal system = tetragonal

25.
VASP calculation (PBE) on GaNiOs after structural relaxation.

a b c (Å): 4.481 2.776 6.773
angles (deg): 90.00 109.40 90.00
Atoms (fractional coordinates):
Os1 0.292 0.000 0.410
Ga1 0.117 0.500 0.062
Ni1 0.646 0.000 0.098
Ga2 0.794 0.500 0.434
Ni2 0.802 0.000 0.760
Os2 0.321 0.500 0.750

- total DFT energy (no corrections) (eV/atom) = -6.72
- DOS(E_F) (states/eV/f.u.) = 2.6
- space group = Pm
- crystal system = monoclinic